A plane-wave DFT calculation with PBE-GGA was carried out for a relaxed structure of BaBiPdPb2.

Properties
**Theoretical density**: 8.4 g cm⁻³
**Energy above the lowest structure with this stoichiometry**: 0.000 eV/atom
**ΔH_f (0 K)**: -0.281 eV/atom
**DOS at the Fermi energy**: 3.137 states/eV per cell

Lattice parameters (Å, degrees): 5.401 5.401 5.878 90.00 90.00 90.00
Fractional coordinates of all 5 atoms:
Pb 0.000 0.500 0.000
Pb 0.500 0.000 0.000
Bi 0.500 0.500 0.500
Pd 0.000 0.000 0.000
Ba 0.000 0.000 0.500